1.
# NdGdNp

A geometry-optimized NdGdNp structure (PBE, the Open Quantum Materials Database).

Calculated values
The raw total energy is -6.236 eV per atom. As for the spin magnetization: 5.39 μB per formula unit.

Unit cell a=7.2432 b=7.2432 c=7.2432 alpha=90.00 beta=90.00 gamma=90.00
Last column: nearest neighbours and their distance in Å.
Space group F-43m (No. 216)
Unique sites:
Nd 0.0000 0.0000 0.0000  4 Np 3.14, 4 Gd 3.14
Gd 0.2500 0.2500 0.2500  4 Nd 3.14
Np 0.2500 0.2500 0.7500  4 Nd 3.14

2.
# PrAuSO

A geometry-optimized PrAuSO structure (PBE, the Open Quantum Materials Database).

Calculated values
For the relative energy among the computed polymorphs, the calculation gives 0.09 eV/f.u. As for the spin magnetization: 0.00 μB per formula unit.

Unit cell a=5.8741 b=5.8716 c=11.1008 alpha=90.00 beta=92.09 gamma=90.00
Last column: nearest neighbours and their distance in Å.
Space group P2_1 (No. 4)
Unique sites:
Pr 0.0062 0.9995 0.1048  4 O 2.37-2.39
Pr 0.4932 0.0000 0.8953  4 O 2.37-2.39
Au 0.1953 0.2746 0.4970  2 S 2.31
Au 0.4977 0.0216 0.2853  2 S 2.34-2.35
S 0.2119 0.3017 0.2901  2 Au 2.31-2.35
S 0.2175 0.2431 0.7044  2 Au 2.31-2.34
O 0.2485 0.7489 0.0002  4 Pr 2.37-2.39
O 0.2513 0.2489 0.9990  4 Pr 2.37-2.39

3.
# Tm4CdHgN2

A geometry-optimized Tm4CdHgN2 structure (PBE, the Open Quantum Materials Database).

Calculated values
The raw total energy is -5.460 eV per atom. As for the spin magnetization: 0.46 μB per formula unit.

Unit cell a=3.4455 b=3.4455 c=15.3967 alpha=90.00 beta=90.00 gamma=120.00
Last column: nearest neighbours and their distance in Å.
Space group P-6m2 (No. 187)
Unique sites:
Tm 0.0000 0.0000 0.1586  3 N 2.40
Tm 0.3333 0.6667 0.3306  3 N 2.38
Cd 0.0000 0.0000 0.5000  6 Tm 3.28, 6 Cd 3.45
Hg 0.3333 0.6667 0.0000  6 Tm 3.15, 6 Hg 3.45
N 0.6667 0.3333 0.2460  6 Tm 2.38-2.40

4.
# Lu4CuBiC2

A geometry-optimized Lu4CuBiC2 structure (PBE, the Open Quantum Materials Database).

Calculated values
The raw total energy is -5.975 eV per atom. As for the spin magnetization: 0.00 μB per formula unit.

Unit cell a=3.5729 b=3.5729 c=14.2795 alpha=90.00 beta=90.00 gamma=120.00
Last column: nearest neighbours and their distance in Å.
Space group P-6m2 (No. 187)
Unique sites:
Lu 0.0000 0.0000 0.1399  3 C 2.45
Lu 0.3333 0.6667 0.3188  3 C 2.40
Cu 0.3333 0.6667 0.0000  6 Lu 2.87
Bi 0.0000 0.0000 0.5000  6 Lu 3.31, 6 Bi 3.57
C 0.6667 0.3333 0.2331  6 Lu 2.40-2.45

5.
# CdTeO4

A geometry-optimized CdTeO4 structure (PBE, the Open Quantum Materials Database).

Calculated values
The raw total energy is -4.924 eV per atom.

Unit cell a=11.3630 b=5.7515 c=5.0952 alpha=90.00 beta=111.86 gamma=90.00
Last column: nearest neighbours and their distance in Å.
Space group C2/c (No. 15)
Unique sites:
Cd 0.2500 0.2500 0.0000  4 O 2.18-2.28
Te 0.0000 0.1804 0.2500  6 O 1.86-2.08
O 0.0984 0.0870 0.6491  2 Te 2.00-2.08, 1 Cd 2.18
O 0.1250 0.3802 0.2298  1 Te 1.86

6.
# BaZnTeCl2O3

A geometry-optimized BaZnTeCl2O3 structure (PBE, the Open Quantum Materials Database).

Calculated values
The raw total energy is -4.817 eV per atom.

Unit cell a=12.3338 b=5.6543 c=19.2306 alpha=90.00 beta=90.00 gamma=90.00
Last column: nearest neighbours and their distance in Å.
Space group Pnma (No. 62)
Unique sites:
Ba 0.0568 0.2500 0.2103  4 O 2.83-2.89, 1 Cl 3.17
Ba 0.1646 0.2500 0.6689  5 O 2.60-2.86
Zn 0.0148 0.2500 0.4089  3 O 1.93-1.98
Zn 0.0670 0.7500 0.0724  2 O 2.01, 1 Cl 2.24
Te 0.1445 0.7500 0.3402  3 O 1.85-1.91
Te 0.2244 0.2500 0.0457  3 O 1.87-1.90
Cl 0.0613 0.7500 0.9561  1 Zn 2.24
Cl 0.0665 0.2500 0.8447  1 Zn 2.29
Cl 0.1315 0.2500 0.4972  1 Zn 2.22
Cl 0.1966 0.7500 0.7632  4 Ba 3.17-3.38, 3 O 3.35-3.37
O 0.0376 0.5062 0.3400  1 Te 1.91, 1 Zn 1.98
O 0.1417 0.7500 0.5916  1 Te 1.87, 1 Zn 1.93
O 0.1606 0.7500 0.2447  1 Te 1.85
O 0.1686 0.0063 0.1034  1 Te 1.90, 1 Zn 2.01

7.
# HfCuGe

A geometry-optimized HfCuGe structure (PBE, the Open Quantum Materials Database).

Calculated values
The raw total energy is -6.593 eV per atom. As for the spin magnetization: 0.00 μB per formula unit.

Unit cell a=6.5304 b=3.9486 c=7.4644 alpha=90.00 beta=90.00 gamma=90.00
Last column: nearest neighbours and their distance in Å.
Space group Pnma (No. 62)
Unique sites:
Hf 0.0151 0.2500 0.1891  5 Ge 2.79-2.84, 6 Cu 2.89-3.03
Cu 0.1629 0.2500 0.5741  4 Ge 2.43-2.55
Ge 0.2253 0.7500 0.3927  4 Cu 2.43-2.55

8.
# Nd2PbF8

A geometry-optimized Nd2PbF8 structure (PBE, the Open Quantum Materials Database).

Calculated values
The raw total energy is -6.026 eV per atom. As for the spin magnetization: 0.00 μB per formula unit.

Unit cell a=5.3702 b=5.3702 c=11.3126 alpha=90.00 beta=90.00 gamma=90.00
Last column: nearest neighbours and their distance in Å.
Space group I-4 (No. 82)
Unique sites:
Nd 0.0000 0.0000 0.1510  6 F 2.23-2.34
Pb 0.0000 0.0000 0.5000  4 F 2.36
F 0.1129 0.7019 0.9756  1 Nd 2.23, 1 Pb 2.36, 3 F 2.48
F 0.1885 0.2106 0.3026  2 Nd 2.29-2.34